(1)
# Cs2TlOsF6

A relaxed Cs2TlOsF6 crystal (GGA-PBE, Alexandria via LeMat-Bulk).

Output
The total energy is -46.8 eV for the cell shown. The calculation puts the density of states at the Fermi level at 10.0 states/eV/cell. For the uncorrected formation energy, the calculation gives -2.022 eV per atom.

a b c (Å): 6.6960 6.6960 6.6963
angles (deg): 60.00 60.00 90.00
Last column: nearest neighbours and their distance in Å.
Fractional positions:
Cs  0.7500  0.2500  0.5000  12 F 3.36
Os  0.5000  0.5000  0.0000  6 F 2.06
F  0.2830  0.2830  0.0000  1 Os 2.06
F  0.7170  0.7170  0.0000  1 Os 2.06
F  0.7170  0.7170  0.5659  1 Os 2.06
F  0.7170  0.2830  0.0000  1 Os 2.06
F  0.2830  0.7170  0.0000  1 Os 2.06
Cs  0.2500  0.7500  0.5000  12 F 3.36
Tl  0.0000  0.0000  0.0000  6 F 2.68
F  0.2830  0.2830  0.4341  1 Os 2.06

(2)
# CsYOsF2

A relaxed CsYOsF2 crystal (GGA-PBE, Alexandria via LeMat-Bulk).

Output
The total energy is -22.2 eV for the cell shown. The calculation puts the density of states at the Fermi level at 2.9 states/eV/cell. For the uncorrected formation energy, the calculation gives 0.016 eV per atom.

a b c (Å): 4.8125 4.8125 5.4780
angles (deg): 90.00 90.00 90.00
Last column: nearest neighbours and their distance in Å.
Fractional positions:
F  0.5000  0.0000  0.0000  2 Cs 2.41
Cs  0.0000  0.0000  0.0000  4 F 2.41
Y  0.5000  0.5000  0.5000  4 Os 3.40, 8 F 3.65
F  0.0000  0.5000  0.0000  2 Cs 2.41
Os  0.0000  0.0000  0.5000  2 Cs 2.74